1.
VASP calculation (PBE) on a relaxed ZrCr3S crystal.

The structure in extended XYZ format:
```
5
Lattice="4.222 0.000 0.000 0.000 4.222 0.000 0.000 0.000 4.222" Properties=species:S:1:pos:R:3 pbc="T T T"
S 0.000 0.000 0.000
Cr 0.000 2.111 0.000
Cr 0.000 0.000 2.111
Cr 2.111 0.000 0.000
Zr 2.111 2.111 2.111
```

Properties
- D(E_F) (states/eV per cell) = 3.6
- E above lowest polymorph (kJ per mole of atoms) = 0.0
- formation energy from raw total energies (meV/atom) = 110.2
- total magnetic moment (μB per cell) = 2.5
- calculated volume (Å³ per cell) = 75.2

---

2.
VASP calculation (PBE) on a relaxed ZrCr3S crystal.

The structure in extended XYZ format:
```
5
Lattice="-2.909 0.723 -3.468 2.287 -3.045 -2.553 -2.707 -3.350 1.571" Properties=species:S:1:pos:R:3 pbc="T T T"
Zr 0.000 0.000 0.000
Cr -1.454 0.362 -1.734
Cr 1.143 -1.522 -1.276
Cr -1.353 -1.675 0.786
S -1.664 -2.836 -2.225
```

Properties
- D(E_F) (states/eV per cell) = 14.6
- E above lowest polymorph (kJ per mole of atoms) = 209.1
- formation energy from raw total energies (meV/atom) = 2277.4
- total magnetic moment (μB per cell) = 0.0
- calculated volume (Å³ per cell) = 96.3

---

3.
VASP calculation (PBE) on a relaxed Cr3Sb crystal.

The structure in extended XYZ format:
```
4
Lattice="-2.872 1.826 2.694 -4.248 -0.678 -0.573 -2.204 -2.461 2.815" Properties=species:S:1:pos:R:3 pbc="T T T"
Cr -6.993 -0.985 3.701
Cr 0.000 0.000 0.000
Cr -4.662 -0.657 2.467
Sb -2.331 -0.328 1.234
```

Properties
- D(E_F) (states/eV per cell) = 4.3
- formation energy from raw total energies (meV/atom) = 258.6
- total magnetic moment (μB per cell) = 1.0
- calculated volume (Å³ per cell) = 57.8

---

4.
VASP calculation (PBE) on a relaxed Cr3Sb crystal.

The structure in extended XYZ format:
```
4
Lattice="4.921 0.002 0.000 2.159 4.422 0.000 -3.169 -2.806 2.511" Properties=species:S:1:pos:R:3 pbc="T T T"
Sb 1.265 1.914 1.255
Cr 2.646 -0.296 1.255
Cr 7.004 4.377 0.000
Cr 3.615 2.259 0.000
```

Properties
- D(E_F) (states/eV per cell) = 3.8
- formation energy from raw total energies (meV/atom) = 300.5
- total magnetic moment (μB per cell) = 0.0
- calculated volume (Å³ per cell) = 54.6

---

5.
VASP calculation (PBE) on a relaxed CrSb4 crystal.

The structure in extended XYZ format:
```
5
Lattice="-3.254 3.254 3.254 3.254 -3.254 3.254 3.254 3.254 -3.254" Properties=species:S:1:pos:R:3 pbc="T T T"
Sb 1.627 -1.627 1.627
Sb 1.627 1.627 -1.627
Sb 1.627 1.627 1.627
Sb -1.627 1.627 1.627
Cr 0.000 0.000 0.000
```

Properties
- D(E_F) (states/eV per cell) = 3.5
- E above lowest polymorph (kJ per mole of atoms) = 0.0
- formation energy from raw total energies (meV/atom) = 258.9
- total magnetic moment (μB per cell) = 3.3
- calculated volume (Å³ per cell) = 137.8

---

6.
VASP calculation (PBE) on a relaxed CrSb2 crystal.

The structure in extended XYZ format:
```
6
Lattice="3.051 0.927 5.732 -3.336 2.243 -5.183 -5.731 -1.074 3.225" Properties=species:S:1:pos:R:3 pbc="T T T"
Sb -1.022 0.686 5.006
Sb -4.789 0.827 2.241
Sb -1.353 1.246 1.603
Sb -7.618 0.918 0.244
Cr 1.732 0.986 4.705
Cr -5.964 1.444 -1.936
```

Properties
- D(E_F) (states/eV per cell) = 3.9
- formation energy from raw total energies (meV/atom) = 252.3
- total magnetic moment (μB per cell) = 6.3
- calculated volume (Å³ per cell) = 136.8

---

Copy entry 5 word for word.
VASP calculation (PBE) on a relaxed CrSb4 crystal.

The structure in extended XYZ format:
```
5
Lattice="-3.254 3.254 3.254 3.254 -3.254 3.254 3.254 3.254 -3.254" Properties=species:S:1:pos:R:3 pbc="T T T"
Sb 1.627 -1.627 1.627
Sb 1.627 1.627 -1.627
Sb 1.627 1.627 1.627
Sb -1.627 1.627 1.627
Cr 0.000 0.000 0.000
```

Properties
- D(E_F) (states/eV per cell) = 3.5
- E above lowest polymorph (kJ per mole of atoms) = 0.0
- formation energy from raw total energies (meV/atom) = 258.9
- total magnetic moment (μB per cell) = 3.3
- calculated volume (Å³ per cell) = 137.8

---

Question: The highest formation energy from raw total energies belongs to which entry?
Answer: number 2

---

Question: The lowest D(E_F) belongs to which entry?
Answer: CrSb4

---

Please write out number 1 again, unchanged.
VASP calculation (PBE) on a relaxed ZrCr3S crystal.

The structure in extended XYZ format:
```
5
Lattice="4.222 0.000 0.000 0.000 4.222 0.000 0.000 0.000 4.222" Properties=species:S:1:pos:R:3 pbc="T T T"
S 0.000 0.000 0.000
Cr 0.000 2.111 0.000
Cr 0.000 0.000 2.111
Cr 2.111 0.000 0.000
Zr 2.111 2.111 2.111
```

Properties
- D(E_F) (states/eV per cell) = 3.6
- E above lowest polymorph (kJ per mole of atoms) = 0.0
- formation energy from raw total energies (meV/atom) = 110.2
- total magnetic moment (μB per cell) = 2.5
- calculated volume (Å³ per cell) = 75.2